No. 1
First-principles (PBE-GGA) data for a relaxed AlHgS2N crystal, as listed in Alexandria via LeMat-Bulk.

Results
Formation energy (no corrections): 1.275 eV/atom
Energy above the most stable polymorph in this dataset: 952.8 meV per atom

Cell and atoms, written as CIF:
```
data_AlHgS2N
_cell_length_a 5.151
_cell_length_b 5.151
_cell_length_c 4.086
_cell_angle_alpha 90.00
_cell_angle_beta 90.00
_cell_angle_gamma 90.00
_space_group_name_H-M_alt 'P 4/m m m'
_space_group_IT_number 123
_space_group_name_Hall '-P 4 2'
loop_
_atom_site_label
_atom_site_fract_x
_atom_site_fract_y
_atom_site_fract_z
Al1 0.000 0.000 0.000
Hg1 0.500 0.500 0.500
S1 0.000 0.500 0.500
N1 0.500 0.500 0.000
```



No. 2
First-principles (PBE-GGA) data for a relaxed KTl15In4 crystal, as listed in Alexandria via LeMat-Bulk.

Results
ΔE_f: 0.0029 eV/atom

Cell and atoms, written as CIF:
```
data_KTl15In4
_cell_length_a 5.397
_cell_length_b 5.397
_cell_length_c 20.925
_cell_angle_alpha 90.00
_cell_angle_beta 90.00
_cell_angle_gamma 90.00
_space_group_name_H-M_alt 'P 4/m m m'
_space_group_IT_number 123
_space_group_name_Hall '-P 4 2'
loop_
_atom_site_label
_atom_site_fract_x
_atom_site_fract_y
_atom_site_fract_z
K1 0.000 0.000 0.000
Tl1 0.000 0.500 0.112
Tl2 0.000 0.500 0.304
Tl3 0.000 0.500 0.500
Tl4 0.500 0.500 0.000
Tl5 0.500 0.500 0.208
Tl6 0.500 0.500 0.401
In1 0.000 0.000 0.204
In2 0.000 0.000 0.402
```



No. 3
First-principles (PBE-GGA) data for a relaxed K2IrPt3O12 crystal, as listed in Alexandria via LeMat-Bulk.

Results
Formation energy (no corrections): -0.675 eV/atom

Cell and atoms, written as CIF:
```
data_K2IrPt3O12
_cell_length_a 7.1349
_cell_length_b 7.1349
_cell_length_c 17.8146
_cell_angle_alpha 90.00
_cell_angle_beta 90.00
_cell_angle_gamma 120.00
_space_group_name_H-M_alt 'R -3 m'
_space_group_IT_number 166
_space_group_name_Hall '-R 3 2"'
loop_
_atom_site_label
_atom_site_fract_x
_atom_site_fract_y
_atom_site_fract_z
K1 0.0000 0.0000 0.1288
Ir1 0.0000 0.0000 0.5000
Pt1 0.0000 0.5000 0.0000
O1 0.0629 0.5315 0.3643
O2 0.0712 0.5356 0.1094
```